[1]
# CaLaY2Rh

A relaxed structure of CaLaY2Rh (GGA-PBE, Alexandria).

abc: 5.694 5.694 4.843
angles: 90.00 90.00 90.00
Space group P4/mmm (No. 123)
Unique sites:
Ca: 0.000 0.000 0.000 [1 per cell]
La: 0.500 0.500 0.500 [1 per cell]
Y: 0.000 0.500 0.000 [2 per cell]
Rh: 0.000 0.000 0.500 [1 per cell]

[2]
# Ca2LaYRh

A relaxed structure of Ca2LaYRh (GGA-PBE, Alexandria).

abc: 5.642 5.642 5.414
angles: 90.00 90.00 90.00
Space group P4/mmm (No. 123)
Unique sites:
Ca: 0.000 0.500 0.000 [2 per cell]
La: 0.000 0.000 0.500 [1 per cell]
Y: 0.500 0.500 0.500 [1 per cell]
Rh: 0.000 0.000 0.000 [1 per cell]

[3]
# Ca2LaYRh

A relaxed structure of Ca2LaYRh (GGA-PBE, Alexandria).

abc: 5.911 5.911 4.835
angles: 90.00 90.00 90.00
Space group P4/mmm (No. 123)
Unique sites:
Ca: 0.000 0.500 0.000 [2 per cell]
La: 0.000 0.000 0.000 [1 per cell]
Y: 0.500 0.500 0.500 [1 per cell]
Rh: 0.000 0.000 0.500 [1 per cell]

[4]
# CaLaY2Rh

A relaxed structure of CaLaY2Rh (GGA-PBE, Alexandria).

abc: 5.408 5.408 5.670
angles: 90.00 90.00 90.00
Space group P4/mmm (No. 123)
Unique sites:
Ca: 0.000 0.000 0.000 [1 per cell]
La: 0.500 0.500 0.000 [1 per cell]
Y: 0.000 0.500 0.500 [2 per cell]
Rh: 0.000 0.000 0.500 [1 per cell]

[5]
# CaLaZnRh

A relaxed structure of CaLaZnRh (GGA-PBE, Alexandria).

abc: 7.208 7.208 7.208
angles: 90.00 90.00 90.00
Space group F-43m (No. 216)
Unique sites:
Ca: 0.000 0.000 0.000 [4 per cell]
La: 0.000 0.000 0.500 [4 per cell]
Zn: 0.250 0.250 0.750 [4 per cell]
Rh: 0.250 0.250 0.250 [4 per cell]

[6]
# Ca2LaZrRh

A relaxed structure of Ca2LaZrRh (GGA-PBE, Alexandria).

abc: 5.494 5.494 5.441
angles: 90.00 90.00 90.00
Space group P4/mmm (No. 123)
Unique sites:
Ca: 0.000 0.500 0.000 [2 per cell]
La: 0.000 0.000 0.500 [1 per cell]
Zr: 0.000 0.000 0.000 [1 per cell]
Rh: 0.500 0.500 0.500 [1 per cell]

[7]
# CaLaRu2

A relaxed structure of CaLaRu2 (GGA-PBE, Alexandria).

abc: 4.077 4.077 10.006
angles: 90.00 90.00 90.00
Space group I-4m2 (No. 119)
Unique sites:
Ca: 0.000 0.000 0.000 [2 per cell]
La: 0.000 0.500 0.750 [2 per cell]
Ru: 0.000 0.000 0.500 [2 per cell]
Ru: 0.000 0.500 0.250 [2 per cell]

[8]
# CaLaRu2

A relaxed structure of CaLaRu2 (GGA-PBE, Alexandria).

abc: 4.2499 4.2499 22.2226
angles: 90.00 90.00 120.00
Space group R3m (No. 160, hexagonal axes)
Unique sites:
Ca: 0.0000 0.0000 0.0000 [3 per cell]
La: 0.0000 0.0000 0.8248 [3 per cell]
Ru: 0.0000 0.0000 0.2394 [3 per cell]
Ru: 0.0000 0.0000 0.5817 [3 per cell]

The records above give, respectively, DOS at the Fermi energy values of 7.88; 5.13; 5.33; 5.86; 18.37; 9.02; 10.31; 17.68 states/eV/cell.
The records above give, respectively, E_form values of 3.411; -0.660; 2.664; -1.084; -1.619; 5.708; 1.252; 0.083 eV/f.u..